1.
Below is a relaxed Mn3OF5 crystal, with properties calculated at the PBEsol level.

Properties
Energy relative to the lowest polymorph listed for this composition, meV/atom: 5.9
Uncorrected formation energy, meV per atom: -2120

Structure (POSCAR):
```
Mn3OF5
1.0
-2.4976 -1.7320 4.8827
2.4698 -4.9091 1.7169
4.6058 1.8030 5.5171
Mn O F
6 2 10
Direct
0.3314 0.3611 0.1611
0.6826 0.6901 0.3355
0.3192 0.3306 0.6610
0.6394 0.6686 0.8418
0.9995 0.9871 0.4856
0.0221 0.9725 0.0136
0.9164 0.8906 0.2858
0.3080 0.6961 0.9998
0.3729 0.0002 0.3340
0.9994 0.6273 0.6714
0.0939 0.0733 0.7137
0.4433 0.4669 0.3619
0.7621 0.7553 0.0328
0.2397 0.2354 0.9634
0.5482 0.5724 0.6357
0.6317 0.0312 0.6559
0.9690 0.3635 0.3482
0.7214 0.2778 0.9986
```

=====

2.
Below is a relaxed Mn6OF11 crystal, with properties calculated at the PBEsol level.

Properties
Energy relative to the lowest polymorph listed for this composition, meV/atom: 0.0
Uncorrected formation energy, meV per atom: -2174

Structure (POSCAR):
```
Mn6OF11
1.0
5.7949 -0.0051 -0.0124
1.9079 5.4719 -0.0124
2.2310 1.5834 7.0910
Mn O F
6 1 11
Direct
0.3549 0.3330 0.1560
0.6743 0.6606 0.3308
0.3394 0.3257 0.6692
0.6670 0.6451 0.8440
0.0015 0.9985 0.5000
0.9726 0.0274 0.0000
0.6897 0.3103 0.0000
0.9932 0.3641 0.3242
0.6359 0.0068 0.6758
0.0959 0.1043 0.7029
0.4418 0.4258 0.3709
0.7640 0.7782 0.0323
0.8957 0.9041 0.2971
0.2218 0.2360 0.9677
0.5742 0.5582 0.6291
0.0332 0.6337 0.6659
0.3663 0.9668 0.3341
0.2786 0.7214 0.0000
```

=====

3.
Below is a relaxed Mn2OF3 crystal, with properties calculated at the PBEsol level.

Properties
Energy relative to the lowest polymorph listed for this composition, meV/atom: 130.5
Uncorrected formation energy, meV per atom: -1949

Structure (POSCAR):
```
Mn2OF3
1.0
-4.3675 8.4756 1.9405
-6.8885 -3.6967 0.6421
-1.7970 -2.0991 5.1238
Mn O F
8 4 12
Direct
0.0000 0.5000 0.5000
0.0000 0.0000 0.0000
0.1218 0.6568 0.9746
0.8782 0.3432 0.0254
0.6218 0.3432 0.5254
0.5000 0.5000 0.0000
0.3782 0.6568 0.4746
0.5000 0.0000 0.5000
0.0207 0.2706 0.8379
0.4793 0.2706 0.3379
0.5207 0.7294 0.6621
0.9793 0.7294 0.1621
0.2816 0.5650 0.8576
0.5043 0.6364 0.2068
0.6403 0.0338 0.6954
0.9957 0.6364 0.7068
0.2184 0.5650 0.3576
0.8597 0.0338 0.1954
0.0043 0.3636 0.2932
0.7816 0.4350 0.6424
0.1403 0.9662 0.8046
0.3597 0.9662 0.3046
0.4957 0.3636 0.7932
0.7184 0.4350 0.1424
```

=====

4.
Below is a relaxed Mn3O4F2 crystal, with properties calculated at the PBEsol level.

Properties
Energy relative to the lowest polymorph listed for this composition, meV/atom: 1.3
Uncorrected formation energy, meV per atom: -1819

Structure (POSCAR):
```
Mn3O4F2
1.0
-1.0661 3.6662 2.3884
-1.1140 -2.6146 3.5163
8.4015 0.4526 3.0553
Mn O F
6 8 4
Direct
0.5000 0.5000 0.5000
0.4797 0.5324 0.1592
0.5203 0.4676 0.8408
0.0203 0.0324 0.6592
0.9797 0.9676 0.3408
0.0000 0.0000 0.0000
0.3050 0.3083 0.0001
0.3222 0.3114 0.6703
0.8050 0.1917 0.4999
0.8222 0.1886 0.8297
0.1950 0.8083 0.5001
0.1778 0.8114 0.1703
0.6778 0.6886 0.3297
0.6950 0.6917 0.9999
0.2740 0.2987 0.3205
0.7740 0.2013 0.1795
0.2260 0.7987 0.8205
0.7260 0.7013 0.6795
```

=====

5.
Below is a relaxed Mn2OF3 crystal, with properties calculated at the PBEsol level.

Properties
Energy relative to the lowest polymorph listed for this composition, meV/atom: 0.0
Uncorrected formation energy, meV per atom: -2080

Structure (POSCAR):
```
Mn2OF3
1.0
-5.4727 -0.9270 1.1862
3.3822 -4.2569 1.6301
1.8159 4.5786 2.8207
Mn O F
4 2 6
Direct
0.5000 0.0000 0.0000
0.0000 0.5000 0.0000
0.2884 0.2500 0.5384
0.7116 0.7500 0.4616
0.4188 0.7500 0.1688
0.5812 0.2500 0.8312
0.0000 0.7983 0.2983
0.5000 0.2983 0.2983
0.9750 0.2500 0.2250
0.0250 0.7500 0.7750
0.5000 0.7017 0.7017
0.0000 0.2017 0.7017
```

=====

6.
Below is a relaxed Mn6O5F7 crystal, with properties calculated at the PBEsol level.

Properties
Energy relative to the lowest polymorph listed for this composition, meV/atom: 1.8
Uncorrected formation energy, meV per atom: -1970

Structure (POSCAR):
```
Mn6O5F7
1.0
4.6339 0.0105 0.0000
-0.3551 4.6416 0.0000
0.0000 0.0000 9.2508
Mn O F
6 5 7
Direct
0.0194 0.0075 0.0000
0.9871 0.9720 0.3407
0.9871 0.9720 0.6593
0.5206 0.5088 0.8426
0.5206 0.5088 0.1574
0.4894 0.5452 0.5000
0.1714 0.8073 0.5000
0.7213 0.7025 0.0000
0.6817 0.6927 0.3274
0.6817 0.6927 0.6726
0.3227 0.3073 0.0000
0.2049 0.8038 0.1660
0.2049 0.8038 0.8340
0.2900 0.2954 0.3287
0.2900 0.2954 0.6713
0.8171 0.1835 0.1768
0.7728 0.2178 0.5000
0.8171 0.1835 0.8232
```

=====

7.
Below is a relaxed Mn3O4F2 crystal, with properties calculated at the PBEsol level.

Properties
Energy relative to the lowest polymorph listed for this composition, meV/atom: 20.5
Uncorrected formation energy, meV per atom: -1799

Structure (POSCAR):
```
Mn3O4F2
1.0
4.5209 -0.0113 0.0056
0.1813 5.4204 0.0225
0.1423 0.5411 7.4496
Mn O F
6 8 4
Direct
0.4852 0.5065 0.9951
0.5021 0.8287 0.6604
0.5062 0.1816 0.3543
0.0025 0.3378 0.6731
0.9703 0.6506 0.3193
0.0219 0.9910 0.9979
0.8058 0.3725 0.4389
0.8049 0.7057 0.0976
0.6897 0.5360 0.7666
0.7032 0.8764 0.4353
0.3064 0.1316 0.5711
0.3051 0.4629 0.2312
0.3028 0.7927 0.8892
0.1934 0.2904 0.9014
0.7910 0.0288 0.7706
0.7024 0.1979 0.1063
0.1966 0.6426 0.5502
0.2105 0.9665 0.2416
```

=====

8.
Below is a relaxed Mn2OF3 crystal, with properties calculated at the PBEsol level.

Properties
Energy relative to the lowest polymorph listed for this composition, meV/atom: 15.0
Uncorrected formation energy, meV per atom: -2065

Structure (POSCAR):
```
Mn2OF3
1.0
-5.2881 -0.0917 2.0252
-3.3980 -2.1529 -3.9866
0.8342 -8.6703 3.2349
Mn O F
8 4 12
Direct
0.3526 0.3526 0.1158
0.1120 0.1120 0.3927
0.7414 0.7414 0.2325
0.5000 0.5000 0.5000
0.2586 0.2586 0.7675
0.8880 0.8880 0.6073
0.6474 0.6474 0.8842
0.0000 0.0000 0.0000
0.8063 0.1937 0.5000
0.7926 0.7926 0.0255
0.2074 0.2074 0.9745
0.1937 0.8063 0.5000
0.4223 0.0420 0.2673
0.0420 0.4223 0.2673
0.2800 0.2800 0.5432
0.5107 0.5107 0.2664
0.0261 0.0261 0.7791
0.9739 0.9739 0.2209
0.4893 0.4893 0.7336
0.7200 0.7200 0.4568
0.6929 0.3071 0.0000
0.9580 0.5777 0.7327
0.3071 0.6929 0.0000
0.5777 0.9580 0.7327
```

=====

9.
Below is a relaxed Mn2O3F crystal, with properties calculated at the PBEsol level.

Properties
Energy relative to the lowest polymorph listed for this composition, meV/atom: 6.8
Uncorrected formation energy, meV per atom: -1766

Structure (POSCAR):
```
Mn2O3F
1.0
5.3760 0.0291 0.0327
1.5959 5.1337 0.0327
0.4463 0.3305 8.6184
Mn O F
8 12 4
Direct
0.1387 0.1387 0.3579
0.8613 0.8613 0.6421
0.5000 0.5000 0.5000
0.2424 0.2424 0.7369
0.0000 0.0000 0.0000
0.6064 0.6064 0.8680
0.3936 0.3936 0.1320
0.7576 0.7576 0.2631
0.5470 0.9363 0.7548
0.0249 0.0249 0.7788
0.2770 0.2770 0.5196
0.5356 0.5356 0.2812
0.7230 0.7230 0.4804
0.4644 0.4644 0.7188
0.9751 0.9751 0.2212
0.4530 0.0637 0.2452
0.9363 0.5470 0.7548
0.6952 0.3048 0.0000
0.0637 0.4530 0.2452
0.3048 0.6952 0.0000
0.1858 0.8142 0.5000
0.8142 0.1858 0.5000
0.7640 0.7640 0.0283
0.2360 0.2360 0.9717
```

=====

10.
Below is a relaxed Mn6O7F5 crystal, with properties calculated at the PBEsol level.

Properties
Energy relative to the lowest polymorph listed for this composition, meV/atom: 18.0
Uncorrected formation energy, meV per atom: -1867

Structure (POSCAR):
```
Mn6O7F5
1.0
4.5997 0.0588 0.0000
-0.3884 4.5849 0.0000
0.0000 0.0000 8.9503
Mn O F
6 7 5
Direct
0.0181 0.9921 0.8248
0.0181 0.9921 0.1752
0.9899 0.9628 0.5000
0.4876 0.5278 0.6748
0.5144 0.4936 0.0000
0.4876 0.5278 0.3252
0.1847 0.8087 0.3404
0.1847 0.8087 0.6596
0.7032 0.6990 0.8342
0.7032 0.6990 0.1658
0.6774 0.6927 0.5000
0.3108 0.3072 0.8328
0.3108 0.3072 0.1672
0.2100 0.8006 0.0000
0.2851 0.3024 0.5000
0.8292 0.1817 0.0000
0.7925 0.1982 0.3453
0.7925 0.1982 0.6547
```

=====

11.
Below is a relaxed Rb2MnSO4F3 crystal, with properties calculated at the PBEsol level.

Properties
Uncorrected formation energy, meV per atom: -2143

Structure (POSCAR):
```
Rb2MnSO4F3
1.0
-1.6300 -1.8519 6.8922
-2.8506 -7.6343 -3.2336
10.1493 -4.3153 1.2408
Rb Mn S O F
8 4 4 16 12
Direct
0.7018 0.6760 0.8090
0.2982 0.8240 0.3090
0.2982 0.3240 0.1910
0.7018 0.1760 0.6910
0.1914 0.8295 0.6908
0.8086 0.6705 0.1908
0.8086 0.1705 0.3092
0.1914 0.3295 0.8092
0.0000 0.5000 0.5000
0.0000 0.0000 0.0000
0.5000 0.5000 0.5000
0.5000 0.0000 0.0000
0.7488 0.8052 0.4984
0.2512 0.6948 0.9984
0.2512 0.1948 0.5016
0.7488 0.3052 0.0016
0.8226 0.8978 0.5990
0.1774 0.6022 0.0990
0.1774 0.1022 0.4010
0.8226 0.3978 0.9010
0.6605 0.8941 0.4056
0.3395 0.6059 0.9056
0.3395 0.1059 0.5944
0.6605 0.3941 0.0944
0.6054 0.6925 0.5557
0.3946 0.8075 0.0557
0.3946 0.3075 0.4443
0.6054 0.1925 0.9443
0.1060 0.7847 0.9424
0.8940 0.7153 0.4424
0.8940 0.2153 0.0576
0.1060 0.2847 0.5576
0.4780 0.4427 0.6583
0.5220 0.0573 0.1583
0.5220 0.5573 0.3417
0.4780 0.9427 0.8417
0.9744 0.0466 0.8398
0.0256 0.4534 0.3398
0.0256 0.9534 0.1602
0.9744 0.5466 0.6602
0.2367 0.1004 0.9975
0.7633 0.3996 0.4975
0.7633 0.8996 0.0025
0.2367 0.6004 0.5025
```

=====

12.
Below is a relaxed MnRhOF2 crystal, with properties calculated at the PBEsol level.

Properties
Uncorrected formation energy, meV per atom: -794

Structure (POSCAR):
```
MnRhOF2
1.0
3.7917 0.0000 0.0000
0.0000 3.9196 0.0000
0.0000 0.0000 3.9196
Mn Rh O F
1 1 1 2
Direct
0.0000 0.0000 0.0000
0.5000 0.5000 0.5000
0.5000 0.0000 0.0000
0.0000 0.0000 0.5000
0.0000 0.5000 0.0000
```

=====

13.
Below is a relaxed SrMnOF2 crystal, with properties calculated at the PBEsol level.

Properties
Uncorrected formation energy, meV per atom: -1519

Structure (POSCAR):
```
SrMnOF2
1.0
4.4335 0.0000 0.0000
0.0000 4.4335 0.0000
0.0000 0.0000 4.8162
Sr Mn O F
1 1 1 2
Direct
0.0000 0.0000 0.0000
0.5000 0.5000 0.5000
0.0000 0.0000 0.5000
0.0000 0.5000 0.0000
0.5000 0.0000 0.0000
```

=====

14.
Below is a relaxed TaMnO2F crystal, with properties calculated at the PBEsol level.

Properties
Uncorrected formation energy, meV per atom: -1520

Structure (POSCAR):
```
TaMnO2F
1.0
-0.8554 -3.4364 -1.7738
2.6205 -1.8511 2.3224
-2.9756 -0.7032 2.7971
F Mn O Ta
1 1 2 1
Direct
0.0000 0.0000 0.5000
0.5000 0.5000 0.5000
0.0000 0.5000 0.0000
0.5000 0.0000 0.0000
0.0000 0.0000 0.0000
```

=====

15.
Below is a relaxed MnTeOF2 crystal, with properties calculated at the PBEsol level.

Properties
Uncorrected formation energy, meV per atom: -1097

Structure (POSCAR):
```
MnTeOF2
1.0
4.0837 0.0000 0.0000
0.0000 4.0837 0.0000
0.0000 0.0000 3.9702
Te O Mn F
1 1 1 2
Direct
0.5000 0.5000 0.5000
0.0000 0.0000 0.5000
0.0000 0.0000 0.0000
0.0000 0.5000 0.0000
0.5000 0.0000 0.0000
```

=====

16.
Below is a relaxed MnWOF2 crystal, with properties calculated at the PBEsol level.

Properties
Uncorrected formation energy, meV per atom: -278

Structure (POSCAR):
```
MnWOF2
1.0
-3.2030 -2.1340 -0.3104
1.2673 -1.4131 -3.3625
1.9522 -3.2349 2.0953
Mn O W F
1 1 1 2
Direct
0.0000 0.0000 0.0000
0.0000 0.0000 0.5000
0.5000 0.5000 0.5000
0.0000 0.5000 0.0000
0.5000 0.0000 0.0000
```

=====

17.
Below is a relaxed YMnO2F crystal, with properties calculated at the PBEsol level.

Properties
Uncorrected formation energy, meV per atom: -1890

Structure (POSCAR):
```
YMnO2F
1.0
4.1555 0.0000 0.0000
0.0000 4.3334 0.0000
0.0000 0.0000 4.3334
Y Mn O F
1 1 2 1
Direct
0.0000 0.0000 0.0000
0.5000 0.5000 0.5000
0.0000 0.0000 0.5000
0.0000 0.5000 0.0000
0.5000 0.0000 0.0000
```

=====

18.
Below is a relaxed MnZnO2F crystal, with properties calculated at the PBEsol level.

Properties
Uncorrected formation energy, meV per atom: -837

Structure (POSCAR):
```
MnZnO2F
1.0
-0.6809 3.7238 -0.0075
-3.7167 -0.6801 -0.2312
-0.2349 -0.0352 3.8792
Zn Mn O F
1 1 2 1
Direct
0.0000 0.0000 0.0000
0.5000 0.5000 0.5000
0.0000 0.5000 0.0000
0.5000 0.0000 0.0000
0.0000 0.0000 0.5000
```